# K8TiO6, optimized geometry, DFT PBE
data_K8TiO6
_chemical_formula_sum 'K16 Ti2 O12'
_space_group_name_H-M_alt 'P 1'
_space_group_IT_number 1
_cell_length_a 7.261
_cell_length_b 7.593
_cell_length_c 11.592
_cell_angle_alpha 90.00
_cell_angle_beta 90.00
_cell_angle_gamma 90.00
loop_
_space_group_symop_operation_xyz
'x,y,z'
loop_
_atom_site_label
_atom_site_type_symbol
_atom_site_fract_x
_atom_site_fract_y
_atom_site_fract_z
K1 K 0.350 0.000 0.990
K2 K 0.650 0.500 0.490
K3 K 0.856 0.782 0.091
K4 K 0.144 0.718 0.591
K5 K 0.144 0.282 0.591
K6 K 0.856 0.218 0.091
K7 K 0.527 0.775 0.779
K8 K 0.473 0.725 0.279
K9 K 0.473 0.275 0.279
K10 K 0.527 0.225 0.779
K11 K 0.970 0.798 0.818
K12 K 0.030 0.702 0.318
K13 K 0.030 0.298 0.318
K14 K 0.970 0.202 0.818
K15 K 0.419 0.000 0.526
K16 K 0.581 0.500 0.026
Ti1 Ti 0.830 0.000 0.495
Ti2 Ti 0.170 0.500 0.995
O1 O 0.719 0.000 0.934
O2 O 0.281 0.500 0.434
O3 O 0.262 0.000 0.738
O4 O 0.738 0.500 0.238
O5 O 0.074 0.000 0.449
O6 O 0.926 0.500 0.949
O7 O 0.684 0.000 0.364
O8 O 0.316 0.500 0.864
O9 O 0.218 0.700 0.082
O10 O 0.782 0.800 0.582
O11 O 0.782 0.200 0.582
O12 O 0.218 0.300 0.082
# Total magnetization ... 0.3 μB/cell
# Electronic total energy ... -70.1 eV per formula unit